[1]
The following is a DFT calculation (GGA-PBE) of crystalline PrMg2Hg6 at its relaxed geometry.

abc: 5.0474 5.0577 9.9628
angles: 89.81 90.00 119.93
With the nearest neighbours (Å) after each atom.
Atoms (fractional coordinates):
Hg: 0.3336 0.6672 0.0494  7 Hg 3.08-3.17, 1 Mg 3.19
Hg: 0.6664 0.3328 0.9506  7 Hg 3.08-3.17, 1 Mg 3.19
Hg: 0.0008 0.0016 0.1732  3 Mg 3.08, 3 Hg 3.16-3.17, 1 Pr 3.26
Hg: 0.9992 0.9984 0.8268  3 Mg 3.08, 3 Hg 3.16-3.17, 1 Pr 3.26
Hg: 0.6662 0.3325 0.6371  3 Mg 3.06, 1 Hg 3.12, 3 Pr 3.22
Pr: 0.0000 0.0000 0.5000  8 Hg 3.22-3.26
Mg: 0.3326 0.6652 0.7293  7 Hg 3.06-3.19
Hg: 0.3338 0.6675 0.3629  3 Mg 3.06, 1 Hg 3.12, 3 Pr 3.22
Mg: 0.6674 0.3348 0.2707  7 Hg 3.06-3.19

Properties
DFT total energy	-1.31	eV per atom
theoretical density	10.5	Mg/m³
magnetic moment	0.000	μB per atom
formation energy from the elements	-0.222	eV per atom

=====

[2]
The following is a DFT calculation (GGA-PBE) of crystalline PrMg2Hg at its relaxed geometry.

abc: 3.3309 3.3309 11.4799
angles: 81.66 81.66 60.00
With the nearest neighbours (Å) after each atom.
Atoms (fractional coordinates):
Hg: 0.5000 0.5000 0.5000  6 Mg 3.03, 6 Hg 3.33
Mg: 0.9023 0.9023 0.2930  3 Hg 3.03, 1 Pr 3.32, 6 Mg 3.33
Pr: 0.0000 0.0000 0.0000  2 Mg 3.32, 6 Pr 3.33
Mg: 0.0977 0.0977 0.7070  3 Hg 3.03, 1 Pr 3.32, 6 Mg 3.33

Properties
DFT total energy	-1.96	eV per atom
theoretical density	6.0	Mg/m³
magnetic moment	0.000	μB per atom
formation energy from the elements	0.105	eV per atom
ΔE to the lowest computed polymorph	399	meV per atom

=====

[3]
The following is a DFT calculation (GGA-PBE) of crystalline Pr2Mg6Hg3 at its relaxed geometry.

abc: 4.4769 8.5325 8.5325
angles: 120.00 90.00 90.00
With the nearest neighbours (Å) after each atom.
Atoms (fractional coordinates):
Hg: 0.5000 0.3965 0.3965  5 Mg 2.74-3.02
Pr: 0.0000 0.6667 0.3333  6 Hg 3.44, 9 Mg 3.53-3.81
Hg: 0.5000 0.0000 0.6035  5 Mg 2.74-3.02
Mg: 0.5000 0.7180 0.7180  3 Hg 2.74-3.02
Hg: 0.5000 0.6035 0.0000  5 Mg 2.74-3.02
Mg: 0.0000 0.7965 0.0000  2 Hg 2.78, 6 Mg 3.01-3.10
Mg: 0.5000 0.2820 0.0000  3 Hg 2.74-3.02
Mg: 0.5000 0.0000 0.2820  3 Hg 2.74-3.02
Mg: 0.0000 0.0000 0.7965  2 Hg 2.78, 6 Mg 3.01-3.10
Pr: 0.0000 0.3333 0.6667  6 Hg 3.44, 9 Mg 3.53-3.81
Mg: 0.0000 0.2035 0.2035  2 Hg 2.78, 6 Mg 3.01-3.10

Properties
DFT total energy	-2.05	eV per atom
theoretical density	6.1	Mg/m³
magnetic moment	0.000	μB per atom
formation energy from the elements	-0.226	eV per atom

=====

[4]
The following is a DFT calculation (GGA-PBE) of crystalline PrMg2Hg at its relaxed geometry.

abc: 5.2054 5.2054 5.2062
angles: 90.49 119.72 119.72
With the nearest neighbours (Å) after each atom.
Atoms (fractional coordinates):
Hg: 0.6251 0.5625 0.1875  4 Pr 3.19, 4 Mg 3.19
Pr: 0.1250 0.3125 0.4375  4 Hg 3.19, 4 Mg 3.19
Mg: 0.1249 0.8125 0.9375  4 Mg 3.19, 4 Hg 3.19
Mg: 0.6250 0.0625 0.6875  4 Mg 3.19, 4 Pr 3.19

Properties
DFT total energy	-2.36	eV per atom
theoretical density	6.5	Mg/m³
magnetic moment	0.000	μB per atom
formation energy from the elements	-0.294	eV per atom
ΔE to the lowest computed polymorph	0	meV per atom

=====

[5]
The following is a DFT calculation (GGA-PBE) of crystalline PrMg5Hg6 at its relaxed geometry.

abc: 4.9405 7.8271 7.4584
angles: 90.00 90.00 71.60
With the nearest neighbours (Å) after each atom.
Atoms (fractional coordinates):
Hg: 0.8273 0.3454 0.2562  7 Mg 2.99-3.14, 1 Pr 3.20
Mg: 0.3296 0.3409 0.0000  8 Hg 3.01-3.24
Hg: 0.1727 0.6546 0.7438  7 Mg 2.99-3.14, 1 Pr 3.20
Mg: 0.0000 0.0000 0.5000  8 Hg 3.00-3.14
Hg: 0.5000 0.0000 0.2720  6 Mg 3.00-3.24, 2 Pr 3.20
Hg: 0.5000 0.0000 0.7280  6 Mg 3.00-3.24, 2 Pr 3.20
Hg: 0.1728 0.6546 0.2562  7 Mg 2.99-3.14, 1 Pr 3.20
Hg: 0.8272 0.3454 0.7438  7 Mg 2.99-3.14, 1 Pr 3.20
Mg: 0.6671 0.6657 0.5000  8 Hg 2.99-3.07
Pr: 0.0000 0.0000 0.0000  8 Hg 3.20, 4 Mg 3.54
Mg: 0.6704 0.6591 0.0000  8 Hg 3.01-3.24
Mg: 0.3329 0.3343 0.5000  8 Hg 2.99-3.07

Properties
DFT total energy	-1.49	eV per atom
theoretical density	8.9	Mg/m³
magnetic moment	0.000	μB per atom
formation energy from the elements	-0.280	eV per atom

=====

[6]
The following is a DFT calculation (GGA-PBE) of crystalline Pr2MgHg4 at its relaxed geometry.

abc: 5.1330 5.1330 9.1330
angles: 73.68 73.68 60.00
With the nearest neighbours (Å) after each atom.
Atoms (fractional coordinates):
Hg: 0.3744 0.3744 0.8769  3 Mg 3.15, 4 Pr 3.16-3.22
Mg: 0.0000 0.0000 0.0000  8 Hg 3.15-3.30
Hg: 0.6256 0.6256 0.1231  3 Mg 3.15, 4 Pr 3.16-3.22
Hg: 0.8726 0.8726 0.3821  4 Pr 3.18, 1 Mg 3.30
Pr: 0.7498 0.7498 0.7507  8 Hg 3.16-3.22
Hg: 0.1274 0.1274 0.6179  4 Pr 3.18, 1 Mg 3.30
Pr: 0.2502 0.2502 0.2493  8 Hg 3.16-3.22

Properties
DFT total energy	-2.12	eV per atom
theoretical density	9.3	Mg/m³
magnetic moment	0.000	μB per atom
formation energy from the elements	-0.355	eV per atom
ΔE to the lowest computed polymorph	0	meV per atom

=====

[7]
The following is a DFT calculation (GGA-PBE) of crystalline Pr2MgHg at its relaxed geometry.

abc: 5.4859 5.4859 5.4859
angles: 60.00 60.00 60.00
With the nearest neighbours (Å) after each atom.
Atoms (fractional coordinates):
Pr: 0.7500 0.7500 0.7500  4 Mg 3.36, 4 Hg 3.36
Hg: 0.0000 0.0000 0.0000  8 Pr 3.36
Mg: 0.5000 0.5000 0.5000  8 Pr 3.36
Pr: 0.2500 0.2500 0.2500  4 Hg 3.36, 4 Mg 3.36

Properties
DFT total energy	-3.13	eV per atom
theoretical density	7.2	Mg/m³
magnetic moment	0.000	μB per atom
formation energy from the elements	-0.271	eV per atom
ΔE to the lowest computed polymorph	17	meV per atom

=====

[8]
The following is a DFT calculation (GGA-PBE) of crystalline PrMg12Hg4 at its relaxed geometry.

abc: 8.4352 8.4352 8.4352
angles: 109.47 109.47 109.47
With the nearest neighbours (Å) after each atom.
Atoms (fractional coordinates):
Mg: 0.1572 0.6579 0.8151  2 Hg 2.75, 2 Mg 3.06-3.08
Mg: 0.3421 0.4994 0.1572  2 Hg 2.75, 2 Mg 3.06-3.08
Hg: 0.5000 0.0000 0.0000  6 Mg 2.75
Pr: 0.0000 0.0000 0.0000  12 Mg 3.67
Hg: 0.0000 0.0000 0.5000  6 Mg 2.75
Mg: 0.6579 0.5006 0.8428  2 Hg 2.75, 2 Mg 3.06-3.08
Hg: 0.5000 0.5000 0.5000  6 Mg 2.75
Mg: 0.3421 0.1849 0.8428  2 Hg 2.75, 2 Mg 3.06-3.08
Mg: 0.4994 0.1572 0.3421  2 Hg 2.75, 2 Mg 3.06-3.08
Mg: 0.6579 0.8151 0.1572  2 Hg 2.75, 2 Mg 3.06-3.08
Mg: 0.8151 0.1572 0.6579  2 Hg 2.75, 2 Mg 3.06-3.08
Hg: 0.0000 0.5000 0.0000  6 Mg 2.75
Mg: 0.1572 0.3421 0.4994  2 Hg 2.75, 2 Mg 3.06-3.08
Mg: 0.5006 0.8428 0.6579  2 Hg 2.75, 2 Mg 3.06-3.08
Mg: 0.8428 0.6579 0.5006  2 Hg 2.75, 2 Mg 3.06-3.08
Mg: 0.8428 0.3421 0.1849  2 Hg 2.75, 2 Mg 3.06-3.08
Mg: 0.1849 0.8428 0.3421  2 Hg 2.75, 2 Mg 3.06-3.08

Properties
DFT total energy	-1.39	eV per atom
theoretical density	4.4	Mg/m³
magnetic moment	0.000	μB per atom
formation energy from the elements	0.091	eV per atom

=====

[9]
The following is a DFT calculation (GGA-PBE) of crystalline PrMg6Hg2 at its relaxed geometry.

abc: 4.4794 4.4794 10.8858
angles: 90.00 90.00 90.00
With the nearest neighbours (Å) after each atom.
Atoms (fractional coordinates):
Hg: 0.5000 0.5000 0.8698  4 Mg 2.83, 1 Hg 2.83
Mg: 0.0000 0.0000 0.5000  12 Mg 3.17-3.21
Pr: 0.0000 0.0000 0.0000  8 Hg 3.47, 8 Mg 3.86
Mg: 0.5000 0.0000 0.7111  2 Hg 2.83, 4 Mg 3.17
Mg: 0.5000 0.5000 0.5000  12 Mg 3.17-3.21
Mg: 0.5000 0.0000 0.2889  2 Hg 2.83, 4 Mg 3.17
Mg: 0.0000 0.5000 0.2889  2 Hg 2.83, 4 Mg 3.17
Hg: 0.5000 0.5000 0.1302  4 Mg 2.83, 1 Hg 2.83
Mg: 0.0000 0.5000 0.7111  2 Hg 2.83, 4 Mg 3.17

Properties
DFT total energy	-1.84	eV per atom
theoretical density	5.2	Mg/m³
magnetic moment	0.000	μB per atom
formation energy from the elements	-0.180	eV per atom

=====

[10]
The following is a DFT calculation (GGA-PBE) of crystalline Pr12MgHg6 at its relaxed geometry.

abc: 9.2993 9.2993 9.2993
angles: 110.94 110.94 110.94
With the nearest neighbours (Å) after each atom.
Atoms (fractional coordinates):
Pr: 0.3438 0.4789 0.1902  3 Hg 3.21-3.45, 4 Pr 3.39-3.56
Hg: 0.0759 0.5894 0.3579  7 Pr 3.21-3.56, 2 Hg 3.54
Pr: 0.2751 0.9200 0.8314  4 Hg 3.23-3.56, 5 Pr 3.39-3.60, 1 Mg 3.60
Pr: 0.9200 0.8314 0.2751  4 Hg 3.23-3.56, 5 Pr 3.39-3.60, 1 Mg 3.60
Pr: 0.4789 0.1902 0.3438  3 Hg 3.21-3.45, 4 Pr 3.39-3.56
Hg: 0.3579 0.0759 0.5894  7 Pr 3.21-3.56, 2 Hg 3.54
Hg: 0.5894 0.3579 0.0759  7 Pr 3.21-3.56, 2 Hg 3.54
Pr: 0.5211 0.8098 0.6562  3 Hg 3.21-3.45, 4 Pr 3.39-3.56
Pr: 0.1902 0.3438 0.4789  3 Hg 3.21-3.45, 4 Pr 3.39-3.56
Hg: 0.4106 0.6421 0.9241  7 Pr 3.21-3.56, 2 Hg 3.54
Pr: 0.7249 0.0800 0.1686  4 Hg 3.23-3.56, 5 Pr 3.39-3.60, 1 Mg 3.60
Pr: 0.8314 0.2751 0.9200  4 Hg 3.23-3.56, 5 Pr 3.39-3.60, 1 Mg 3.60
Mg: 0.0000 0.0000 0.0000  12 Pr 3.60-3.65
Hg: 0.9241 0.4106 0.6421  7 Pr 3.21-3.56, 2 Hg 3.54
Pr: 0.6562 0.5211 0.8098  3 Hg 3.21-3.45, 4 Pr 3.39-3.56
Pr: 0.1686 0.7249 0.0800  4 Hg 3.23-3.56, 5 Pr 3.39-3.60, 1 Mg 3.60
Pr: 0.0800 0.1686 0.7249  4 Hg 3.23-3.56, 5 Pr 3.39-3.60, 1 Mg 3.60
Hg: 0.6421 0.9241 0.4106  7 Pr 3.21-3.56, 2 Hg 3.54
Pr: 0.8098 0.6562 0.5211  3 Hg 3.21-3.45, 4 Pr 3.39-3.56

Properties
DFT total energy	-3.40	eV per atom
theoretical density	8.3	Mg/m³
magnetic moment	0.000	μB per atom
formation energy from the elements	-0.201	eV per atom

=====

Repeat the eighth record exactly.
The following is a DFT calculation (GGA-PBE) of crystalline PrMg12Hg4 at its relaxed geometry.

abc: 8.4352 8.4352 8.4352
angles: 109.47 109.47 109.47
With the nearest neighbours (Å) after each atom.
Atoms (fractional coordinates):
Mg: 0.1572 0.6579 0.8151  2 Hg 2.75, 2 Mg 3.06-3.08
Mg: 0.3421 0.4994 0.1572  2 Hg 2.75, 2 Mg 3.06-3.08
Hg: 0.5000 0.0000 0.0000  6 Mg 2.75
Pr: 0.0000 0.0000 0.0000  12 Mg 3.67
Hg: 0.0000 0.0000 0.5000  6 Mg 2.75
Mg: 0.6579 0.5006 0.8428  2 Hg 2.75, 2 Mg 3.06-3.08
Hg: 0.5000 0.5000 0.5000  6 Mg 2.75
Mg: 0.3421 0.1849 0.8428  2 Hg 2.75, 2 Mg 3.06-3.08
Mg: 0.4994 0.1572 0.3421  2 Hg 2.75, 2 Mg 3.06-3.08
Mg: 0.6579 0.8151 0.1572  2 Hg 2.75, 2 Mg 3.06-3.08
Mg: 0.8151 0.1572 0.6579  2 Hg 2.75, 2 Mg 3.06-3.08
Hg: 0.0000 0.5000 0.0000  6 Mg 2.75
Mg: 0.1572 0.3421 0.4994  2 Hg 2.75, 2 Mg 3.06-3.08
Mg: 0.5006 0.8428 0.6579  2 Hg 2.75, 2 Mg 3.06-3.08
Mg: 0.8428 0.6579 0.5006  2 Hg 2.75, 2 Mg 3.06-3.08
Mg: 0.8428 0.3421 0.1849  2 Hg 2.75, 2 Mg 3.06-3.08
Mg: 0.1849 0.8428 0.3421  2 Hg 2.75, 2 Mg 3.06-3.08

Properties
DFT total energy	-1.39	eV per atom
theoretical density	4.4	Mg/m³
magnetic moment	0.000	μB per atom
formation energy from the elements	0.091	eV per atom

=====

What is the formula in the ninth record?
PrMg6Hg2